No. 1
La3Zn: single point on PBEsol structure, meta-GGA SCAN.

```
La3Zn
1.0
4.847 0.000 0.000
0.000 4.847 0.000
0.000 0.000 4.847
La Zn
3 1
direct
0.000 0.000 0.500
0.000 0.500 0.000
0.500 0.000 0.000
0.500 0.500 0.500
```

Values from the calculation:
For the energy, the calculation gives -35.808 eV/atom. For the density of states at the Fermi level, the calculation gives 4.23 states/eV/f.u. The energy of formation from the pure elements is -2.31 kcal/mol of atoms. The magnetization is 0.0000 μB per atom.


No. 2
La2Zn: single point on PBEsol structure, meta-GGA SCAN.

```
La2Zn
1.0
8.057 0.000 0.000
-4.028 6.977 0.000
0.000 0.000 4.513
La Zn
6 3
direct
0.000 0.401 0.000
0.000 0.726 0.500
0.274 0.274 0.500
0.401 0.000 0.000
0.599 0.599 0.000
0.726 0.000 0.500
0.000 0.000 0.000
0.333 0.667 0.500
0.667 0.333 0.500
```

Values from the calculation:
For the energy, the calculation gives -33.484 eV/atom. For the density of states at the Fermi level, the calculation gives 3.44 states/eV/f.u. The energy of formation from the pure elements is -5.59 kcal/mol of atoms. The magnetization is 0.0000 μB per atom.


No. 3
La3Zn: single point on PBEsol structure, meta-GGA SCAN.

```
La3Zn
1.0
5.266 0.000 0.000
0.000 6.938 0.000
0.000 0.000 6.109
La Zn
6 2
direct
0.250 0.002 0.184
0.250 0.250 0.618
0.250 0.498 0.184
0.750 0.502 0.816
0.750 0.750 0.382
0.750 0.998 0.816
0.250 0.750 0.688
0.750 0.250 0.312
```

Values from the calculation:
For the energy, the calculation gives -35.829 eV/atom. For the density of states at the Fermi level, the calculation gives 4.17 states/eV/f.u. The energy of formation from the pure elements is -2.79 kcal/mol of atoms. The magnetization is 0.0000 μB per atom.


No. 4
La3Zn: single point on PBEsol structure, meta-GGA SCAN.

```
La3Zn
1.0
3.594 0.000 0.000
0.000 5.437 0.000
0.000 0.000 5.823
La Zn
3 1
direct
0.000 0.000 0.000
0.000 0.500 0.415
0.500 0.000 0.558
0.500 0.500 0.893
```

Values from the calculation:
For the energy, the calculation gives -35.805 eV/atom. For the density of states at the Fermi level, the calculation gives 3.61 states/eV/f.u. The energy of formation from the pure elements is -2.24 kcal/mol of atoms. The magnetization is 0.0000 μB per atom.


No. 5
LaZrZn3: single point on PBEsol structure, meta-GGA SCAN.

```
LaZrZn3
1.0
4.994 0.000 0.000
0.000 4.994 0.000
0.000 0.000 4.994
La Zr Zn
1 1 3
direct
0.000 0.000 0.000
0.500 0.500 0.500
0.000 0.500 0.500
0.500 0.000 0.500
0.500 0.500 0.000
```

Values from the calculation:
The value obtained for the excess energy over the best structure of this formula in the dataset is 0.0 meV/atom. For the energy, the calculation gives -22.608 eV/atom. For the density of states at the Fermi level, the calculation gives 5.29 states/eV/f.u. The energy of formation from the pure elements is 6.04 kcal/mol of atoms. The magnetization is 0.3913 μB per atom.


No. 6
LaZrZn2: single point on PBEsol structure, meta-GGA SCAN.

```
LaZrZn2
1.0
0.000 3.487 3.487
3.487 0.000 3.487
3.487 3.487 0.000
La Zr Zn
1 1 2
direct
0.000 0.000 0.000
0.500 0.500 0.500
0.250 0.250 0.250
0.750 0.750 0.750
```

Values from the calculation:
The value obtained for the excess energy over the best structure of this formula in the dataset is 131.8 meV/atom. For the energy, the calculation gives -25.395 eV/atom. For the density of states at the Fermi level, the calculation gives 4.56 states/eV/f.u. The energy of formation from the pure elements is -4.29 kcal/mol of atoms. The magnetization is 0.0004 μB per atom.


No. 7
LaZrZn3: single point on PBEsol structure, meta-GGA SCAN.

```
LaZrZn3
1.0
5.090 0.000 0.000
0.000 5.090 0.000
0.000 0.000 5.090
La Zr Zn
1 1 3
direct
0.000 0.000 0.000
0.500 0.500 0.500
0.000 0.000 0.500
0.000 0.500 0.000
0.500 0.000 0.000
```

Values from the calculation:
The value obtained for the excess energy over the best structure of this formula in the dataset is 940.4 meV/atom. For the energy, the calculation gives -21.667 eV/atom. For the density of states at the Fermi level, the calculation gives 4.52 states/eV/f.u. The energy of formation from the pure elements is 27.73 kcal/mol of atoms. The magnetization is 0.0002 μB per atom.


No. 8
LaZrZn2: single point on PBEsol structure, meta-GGA SCAN.

```
LaZrZn2
1.0
-2.114 2.114 4.617
2.114 -2.114 4.617
2.114 2.114 -4.617
La Zr Zn
1 1 2
direct
0.000 0.000 0.000
0.250 0.750 0.500
0.500 0.500 0.000
0.750 0.250 0.500
```

Values from the calculation:
The value obtained for the excess energy over the best structure of this formula in the dataset is 303.9 meV/atom. For the energy, the calculation gives -25.223 eV/atom. For the density of states at the Fermi level, the calculation gives 4.08 states/eV/f.u. The energy of formation from the pure elements is -0.33 kcal/mol of atoms. The magnetization is 0.0000 μB per atom.


No. 9
LaZrZn2: single point on PBEsol structure, meta-GGA SCAN.

```
LaZrZn2
1.0
3.420 0.000 0.000
0.000 3.420 0.000
0.000 0.000 7.179
La Zr Zn
1 1 2
direct
0.000 0.000 0.000
0.000 0.000 0.500
0.500 0.500 0.293
0.500 0.500 0.707
```

Values from the calculation:
The value obtained for the excess energy over the best structure of this formula in the dataset is 0.0 meV/atom. For the energy, the calculation gives -25.527 eV/atom. For the density of states at the Fermi level, the calculation gives 3.01 states/eV/f.u. The energy of formation from the pure elements is -7.33 kcal/mol of atoms. The magnetization is 0.0000 μB per atom.


No. 10
LaZrZn2: single point on PBEsol structure, meta-GGA SCAN.

```
LaZrZn2
1.0
3.264 -4.083 0.000
3.264 4.083 0.000
0.000 0.000 3.082
La Zr Zn
1 1 2
direct
0.000 0.000 0.000
0.500 0.500 0.000
0.000 0.500 0.500
0.500 0.000 0.500
```

Values from the calculation:
The value obtained for the excess energy over the best structure of this formula in the dataset is 141.6 meV/atom. For the energy, the calculation gives -25.385 eV/atom. For the density of states at the Fermi level, the calculation gives 2.79 states/eV/f.u. The energy of formation from the pure elements is -4.07 kcal/mol of atoms. The magnetization is 0.0574 μB per atom.


No. 11
LaZr: single point on PBEsol structure, meta-GGA SCAN.

```
LaZr
1.0
1.689 0.975 5.383
-1.689 0.975 5.383
0.000 -1.950 5.383
La Zr
1 1
direct
0.000 0.000 0.000
0.500 0.500 0.500
```

Values from the calculation:
The value obtained for the excess energy over the best structure of this formula in the dataset is 89.2 meV/atom. For the energy, the calculation gives -36.651 eV/atom. For the density of states at the Fermi level, the calculation gives 2.65 states/eV/f.u. The energy of formation from the pure elements is 5.78 kcal/mol of atoms. The magnetization is 0.0000 μB per atom.


No. 12
LaZr3: single point on PBEsol structure, meta-GGA SCAN.

```
LaZr3
1.0
-2.300 2.300 4.567
2.300 -2.300 4.567
2.300 2.300 -4.567
La Zr
1 3
direct
0.000 0.000 0.000
0.250 0.750 0.500
0.500 0.500 0.000
0.750 0.250 0.500
```

Values from the calculation:
For the energy, the calculation gives -33.615 eV/atom. For the density of states at the Fermi level, the calculation gives 4.59 states/eV/f.u. The energy of formation from the pure elements is 4.26 kcal/mol of atoms. The magnetization is 0.0000 μB per atom.